Material: CuHgBOs
Method: DFT, GGA-PBE
State: relaxed

The calculation puts the volume at 13.8 Å³/atom. The calculated total energy comes out at -17.20 eV for the cell shown. As for the density: 14.02 g/cm³. As for the symmetry: F-43m. The calculation puts the magnetic moment at 0.01 Bohr magnetons per cell.

Lattice parameters (Å, degrees): 4.271 4.271 4.271 60.00 60.00 60.00
Fractional positions:
B1 0.000 0.000 0.000
Cu1 0.750 0.750 0.750
Hg1 0.500 0.500 0.500
Os1 0.250 0.250 0.250